(a)
# MnNi3Rh (PBE, relaxed)
data_MnNi3Rh
_chemical_formula_sum 'Mn2 Ni6 Rh2'
_cell_length_a 3.8877
_cell_length_b 5.0589
_cell_length_c 6.5367
_cell_angle_alpha 90.00
_cell_angle_beta 107.32
_cell_angle_gamma 90.00
_space_group_name_H-M_alt 'P 1'
_space_group_IT_number 1
_space_group_name_Hall 'P 1'
loop_
_atom_site_label
_atom_site_type_symbol
_atom_site_fract_x
_atom_site_fract_y
_atom_site_fract_z
Ni1 Ni 0.6904 0.2500 0.3809
Rh1 Rh 0.4919 0.2500 0.9832
Ni2 Ni 0.8934 0.4995 0.7865
Ni3 Ni 0.1066 0.5005 0.2135
Ni4 Ni 0.1066 0.9995 0.2135
Mn1 Mn 0.7062 0.7500 0.4126
Ni5 Ni 0.3096 0.7500 0.6191
Mn2 Mn 0.2938 0.2500 0.5874
Rh2 Rh 0.5081 0.7500 0.0168
Ni6 Ni 0.8934 0.0005 0.7865
# - Theoretical density: 9.0 g/cm³
# - Total magnetization: 5.7 μB per formula unit

(b)
# MnNi3Rh (PBE, relaxed)
data_MnNi3Rh
_chemical_formula_sum 'Mn4 Ni12 Rh4'
_cell_length_a 5.1541
_cell_length_b 6.2894
_cell_length_c 8.5534
_cell_angle_alpha 119.24
_cell_angle_beta 90.00
_cell_angle_gamma 90.00
_space_group_name_H-M_alt 'P 1'
_space_group_IT_number 1
_space_group_name_Hall 'P 1'
loop_
_atom_site_label
_atom_site_type_symbol
_atom_site_fract_x
_atom_site_fract_y
_atom_site_fract_z
Mn1 Mn 0.6323 0.6065 0.6559
Mn2 Mn 0.3677 0.3935 0.3441
Ni1 Ni 0.3786 0.1979 0.5461
Ni2 Ni 0.1214 0.1979 0.0461
Ni3 Ni 0.8757 0.9984 0.7494
Rh1 Rh 0.8737 0.2041 0.5486
Ni4 Ni 0.6214 0.8021 0.4539
Mn3 Mn 0.8677 0.6065 0.1559
Ni5 Ni 0.6288 0.3975 0.8492
Rh2 Rh 0.1263 0.7959 0.4514
Ni6 Ni 0.6243 0.9984 0.2494
Rh3 Rh 0.6263 0.2041 0.0486
Rh4 Rh 0.3737 0.7959 0.9514
Ni7 Ni 0.1243 0.0016 0.2506
Ni8 Ni 0.8712 0.3975 0.3492
Ni9 Ni 0.3712 0.6025 0.1508
Ni10 Ni 0.8786 0.8021 0.9539
Mn4 Mn 0.1323 0.3935 0.8441
Ni11 Ni 0.3757 0.0016 0.7506
Ni12 Ni 0.1288 0.6025 0.6508
# - Theoretical density: 9.2 g/cm³
# - Total magnetization: 5.4 μB per formula unit

(b) is preferred energetically. Next in line: 81 meV per atom higher.

(a)
# Mn2NiRh2 (PBE, relaxed)
data_Mn2NiRh2
_chemical_formula_sum 'Mn4 Ni2 Rh4'
_cell_length_a 7.0920
_cell_length_b 7.0920
_cell_length_c 2.6137
_cell_angle_alpha 90.00
_cell_angle_beta 90.00
_cell_angle_gamma 90.00
_space_group_name_H-M_alt 'P 1'
_space_group_IT_number 1
_space_group_name_Hall 'P 1'
loop_
_atom_site_label
_atom_site_type_symbol
_atom_site_fract_x
_atom_site_fract_y
_atom_site_fract_z
Rh1 Rh 0.3698 0.8698 0.0000
Mn1 Mn 0.8321 0.3321 0.5000
Ni1 Ni 0.5000 0.5000 0.0000
Mn2 Mn 0.1679 0.6679 0.5000
Rh2 Rh 0.1302 0.3698 0.0000
Ni2 Ni 0.0000 0.0000 0.0000
Rh3 Rh 0.6302 0.1302 0.0000
Mn3 Mn 0.6679 0.8321 0.5000
Rh4 Rh 0.8698 0.6302 0.0000
Mn4 Mn 0.3321 0.1679 0.5000
# - Theoretical density: 9.5 g/cm³
# - Total magnetization: 0.0 μB per formula unit

(b)
# Mn2NiRh2 (PBE, relaxed)
data_Mn2NiRh2
_chemical_formula_sum 'Mn4 Ni2 Rh4'
_cell_length_a 6.9869
_cell_length_b 6.9869
_cell_length_c 2.6556
_cell_angle_alpha 90.00
_cell_angle_beta 90.00
_cell_angle_gamma 90.00
_space_group_name_H-M_alt 'P 1'
_space_group_IT_number 1
_space_group_name_Hall 'P 1'
loop_
_atom_site_label
_atom_site_type_symbol
_atom_site_fract_x
_atom_site_fract_y
_atom_site_fract_z
Rh1 Rh 0.6754 0.8246 0.5000
Ni1 Ni 0.5000 0.5000 0.0000
Mn1 Mn 0.1169 0.3831 0.0000
Ni2 Ni 0.0000 0.0000 0.0000
Rh2 Rh 0.8246 0.3246 0.5000
Mn2 Mn 0.6169 0.1169 0.0000
Rh3 Rh 0.3246 0.1754 0.5000
Mn3 Mn 0.3831 0.8831 0.0000
Mn4 Mn 0.8831 0.6169 0.0000
Rh4 Rh 0.1754 0.6754 0.5000
# - Theoretical density: 9.6 g/cm³
# - Total magnetization: 0.0 μB per formula unit

(c)
# Mn2NiRh2 (PBE, relaxed)
data_Mn2NiRh2
_chemical_formula_sum 'Mn2 Ni1 Rh2'
_cell_length_a 3.7105
_cell_length_b 3.7105
_cell_length_c 5.6886
_cell_angle_alpha 70.97
_cell_angle_beta 70.97
_cell_angle_gamma 90.00
_space_group_name_H-M_alt 'P 1'
_space_group_IT_number 1
_space_group_name_Hall 'P 1'
loop_
_atom_site_label
_atom_site_type_symbol
_atom_site_fract_x
_atom_site_fract_y
_atom_site_fract_z
Rh1 Rh 0.2500 0.7500 0.5000
Rh2 Rh 0.7500 0.2500 0.5000
Ni1 Ni 0.0000 0.0000 0.0000
Mn1 Mn 0.4065 0.4065 0.1870
Mn2 Mn 0.5935 0.5935 0.8130
# - Theoretical density: 8.9 g/cm³
# - Total magnetization: 0.0 μB per formula unit

(b) is preferred energetically. Next in line: 63 meV per atom higher.

(a)
# Mn3NiRh (PBE, relaxed)
data_Mn3NiRh
_chemical_formula_sum 'Mn3 Ni1 Rh1'
_cell_length_a 4.7188
_cell_length_b 4.7188
_cell_length_c 4.7188
_cell_angle_alpha 90.00
_cell_angle_beta 90.00
_cell_angle_gamma 90.00
_space_group_name_H-M_alt 'P 1'
_space_group_IT_number 1
_space_group_name_Hall 'P 1'
loop_
_atom_site_label
_atom_site_type_symbol
_atom_site_fract_x
_atom_site_fract_y
_atom_site_fract_z
Ni1 Ni 0.5000 0.5000 0.5000
Mn1 Mn 0.5000 0.0000 0.0000
Mn2 Mn 0.0000 0.0000 0.5000
Mn3 Mn 0.0000 0.5000 0.0000
Rh1 Rh 0.0000 0.0000 0.0000
# - Theoretical density: 5.2 g/cm³
# - Total magnetization: 13.8 μB per formula unit

(b)
# Mn3NiRh (PBE, relaxed)
data_Mn3NiRh
_chemical_formula_sum 'Mn3 Ni1 Rh1'
_cell_length_a 4.1465
_cell_length_b 4.1465
_cell_length_c 4.1465
_cell_angle_alpha 90.00
_cell_angle_beta 90.00
_cell_angle_gamma 90.00
_space_group_name_H-M_alt 'P 1'
_space_group_IT_number 1
_space_group_name_Hall 'P 1'
loop_
_atom_site_label
_atom_site_type_symbol
_atom_site_fract_x
_atom_site_fract_y
_atom_site_fract_z
Ni1 Ni 0.0000 0.0000 0.0000
Mn1 Mn 0.5000 0.0000 0.0000
Rh1 Rh 0.5000 0.5000 0.5000
Mn2 Mn 0.0000 0.5000 0.0000
Mn3 Mn 0.0000 0.0000 0.5000
# - Theoretical density: 7.6 g/cm³
# - Total magnetization: 0.7 μB per formula unit

(a) is preferred energetically. Next in line: 233 meV per atom higher.

(a)
# Mn2Ni2Rh (PBE, relaxed)
data_Mn2Ni2Rh
_chemical_formula_sum 'Mn4 Ni4 Rh2'
_cell_length_a 6.7001
_cell_length_b 6.7001
_cell_length_c 2.6483
_cell_angle_alpha 90.00
_cell_angle_beta 90.00
_cell_angle_gamma 90.00
_space_group_name_H-M_alt 'P 1'
_space_group_IT_number 1
_space_group_name_Hall 'P 1'
loop_
_atom_site_label
_atom_site_type_symbol
_atom_site_fract_x
_atom_site_fract_y
_atom_site_fract_z
Rh1 Rh 0.0000 0.0000 0.0000
Rh2 Rh 0.5000 0.5000 0.0000
Ni1 Ni 0.1864 0.6864 0.5000
Ni2 Ni 0.6864 0.8136 0.5000
Mn1 Mn 0.3936 0.8936 0.0000
Mn2 Mn 0.6064 0.1064 0.0000
Ni3 Ni 0.8136 0.3136 0.5000
Ni4 Ni 0.3136 0.1864 0.5000
Mn3 Mn 0.8936 0.6064 0.0000
Mn4 Mn 0.1064 0.3936 0.0000
# - Theoretical density: 9.2 g/cm³
# - Total magnetization: 0.0 μB per formula unit

(b)
# Mn2Ni2Rh (PBE, relaxed)
data_Mn2Ni2Rh
_chemical_formula_sum 'Mn4 Ni4 Rh2'
_cell_length_a 6.7093
_cell_length_b 6.7093
_cell_length_c 2.5953
_cell_angle_alpha 90.00
_cell_angle_beta 90.00
_cell_angle_gamma 90.00
_space_group_name_H-M_alt 'P 1'
_space_group_IT_number 1
_space_group_name_Hall 'P 1'
loop_
_atom_site_label
_atom_site_type_symbol
_atom_site_fract_x
_atom_site_fract_y
_atom_site_fract_z
Rh1 Rh 0.5000 0.5000 0.0000
Mn1 Mn 0.3268 0.1732 0.5000
Ni1 Ni 0.1239 0.3761 0.0000
Mn2 Mn 0.6732 0.8268 0.5000
Ni2 Ni 0.6239 0.1239 0.0000
Mn3 Mn 0.1732 0.6732 0.5000
Mn4 Mn 0.8268 0.3268 0.5000
Ni3 Ni 0.3761 0.8761 0.0000
Ni4 Ni 0.8761 0.6239 0.0000
Rh2 Rh 0.0000 0.0000 0.0000
# - Theoretical density: 9.4 g/cm³
# - Total magnetization: 0.0 μB per formula unit

(b) is preferred energetically. Next in line: 21 meV per atom higher.

(a)
# MnNiRu (PBE, relaxed)
data_MnNiRu
_chemical_formula_sum 'Mn1 Ni1 Ru1'
_cell_length_a 5.6579
_cell_length_b 5.6579
_cell_length_c 2.6303
_cell_angle_alpha 76.56
_cell_angle_beta 76.56
_cell_angle_gamma 26.88
_space_group_name_H-M_alt 'P 1'
_space_group_IT_number 1
_space_group_name_Hall 'P 1'
loop_
_atom_site_label
_atom_site_type_symbol
_atom_site_fract_x
_atom_site_fract_y
_atom_site_fract_z
Ni1 Ni 0.6616 0.6616 0.3384
Ru1 Ru 0.3369 0.3369 0.6631
Mn1 Mn 0.0015 0.0015 0.9985
# - Theoretical density: 9.6 g/cm³
# - Total magnetization: 2.0 μB per formula unit

(b)
# MnNiRu (PBE, relaxed)
data_MnNiRu
_chemical_formula_sum 'Mn1 Ni1 Ru1'
_cell_length_a 2.5990
_cell_length_b 2.5990
_cell_length_c 6.2284
_cell_angle_alpha 90.00
_cell_angle_beta 90.00
_cell_angle_gamma 120.00
_space_group_name_H-M_alt 'P 1'
_space_group_IT_number 1
_space_group_name_Hall 'P 1'
loop_
_atom_site_label
_atom_site_type_symbol
_atom_site_fract_x
_atom_site_fract_y
_atom_site_fract_z
Mn1 Mn 0.0000 0.0000 0.9995
Ni1 Ni 0.6667 0.3333 0.3233
Ru1 Ru 0.3333 0.6667 0.6772
# - Theoretical density: 9.8 g/cm³
# - Total magnetization: 0.6 μB per formula unit

(c)
# MnNiRu (PBE, relaxed)
data_MnNiRu
_chemical_formula_sum 'Mn1 Ni1 Ru1'
_cell_length_a 3.9067
_cell_length_b 3.9067
_cell_length_c 3.9067
_cell_angle_alpha 60.00
_cell_angle_beta 60.00
_cell_angle_gamma 60.00
_space_group_name_H-M_alt 'P 1'
_space_group_IT_number 1
_space_group_name_Hall 'P 1'
loop_
_atom_site_label
_atom_site_type_symbol
_atom_site_fract_x
_atom_site_fract_y
_atom_site_fract_z
Ru1 Ru 0.5000 0.5000 0.5000
Mn1 Mn 0.7500 0.7500 0.7500
Ni1 Ni 0.0000 0.0000 0.0000
# - Theoretical density: 8.5 g/cm³
# - Total magnetization: 2.0 μB per formula unit

(d)
# MnNiRu (PBE, relaxed)
data_MnNiRu
_chemical_formula_sum 'Mn1 Ni1 Ru1'
_cell_length_a 4.4628
_cell_length_b 4.4628
_cell_length_c 4.4628
_cell_angle_alpha 145.66
_cell_angle_beta 132.38
_cell_angle_gamma 60.01
_space_group_name_H-M_alt 'P 1'
_space_group_IT_number 1
_space_group_name_Hall 'P 1'
loop_
_atom_site_label
_atom_site_type_symbol
_atom_site_fract_x
_atom_site_fract_y
_atom_site_fract_z
Ru1 Ru 0.6661 0.6661 0.0000
Ni1 Ni 0.3337 0.3337 0.0000
Mn1 Mn 0.0002 0.0002 0.0000
# - Theoretical density: 9.7 g/cm³
# - Total magnetization: 1.3 μB per formula unit

(d) is preferred energetically. Next in line: 42 meV per atom higher.

(a)
# MnNi2Ru2 (PBE, relaxed)
data_MnNi2Ru2
_chemical_formula_sum 'Mn2 Ni4 Ru4'
_cell_length_a 7.0975
_cell_length_b 7.0975
_cell_length_c 2.6925
_cell_angle_alpha 90.00
_cell_angle_beta 90.00
_cell_angle_gamma 90.00
_space_group_name_H-M_alt 'P 1'
_space_group_IT_number 1
_space_group_name_Hall 'P 1'
loop_
_atom_site_label
_atom_site_type_symbol
_atom_site_fract_x
_atom_site_fract_y
_atom_site_fract_z
Mn1 Mn 0.0000 0.0000 0.0000
Ni1 Ni 0.3295 0.1705 0.5000
Ni2 Ni 0.1705 0.6705 0.5000
Ni3 Ni 0.8295 0.3295 0.5000
Ru1 Ru 0.6265 0.1265 0.0000
Ni4 Ni 0.6705 0.8295 0.5000
Ru2 Ru 0.3735 0.8735 0.0000
Ru3 Ru 0.1265 0.3735 0.0000
Mn2 Mn 0.5000 0.5000 0.0000
Ru4 Ru 0.8735 0.6265 0.0000
# - Theoretical density: 9.2 g/cm³
# - Total magnetization: 2.3 μB per formula unit

(b)
# MnNi2Ru2 (PBE, relaxed)
data_MnNi2Ru2
_chemical_formula_sum 'Mn1 Ni2 Ru2'
_cell_length_a 3.1724
_cell_length_b 3.1724
_cell_length_c 6.8824
_cell_angle_alpha 76.67
_cell_angle_beta 76.67
_cell_angle_gamma 90.00
_space_group_name_H-M_alt 'P 1'
_space_group_IT_number 1
_space_group_name_Hall 'P 1'
loop_
_atom_site_label
_atom_site_type_symbol
_atom_site_fract_x
_atom_site_fract_y
_atom_site_fract_z
Ni1 Ni 0.7500 0.2500 0.5000
Ni2 Ni 0.2500 0.7500 0.5000
Ru1 Ru 0.4009 0.4009 0.1982
Ru2 Ru 0.5991 0.5991 0.8018
Mn1 Mn 0.0000 0.0000 0.0000
# - Theoretical density: 9.5 g/cm³
# - Total magnetization: 0.3 μB per formula unit

(a) is preferred energetically. Next in line: 167 meV per atom higher.